# Rb3CaF6

A relaxed structure of Rb3CaF6 (PBE, the Alexandria database).

Cell lengths 11.2602, 11.2602, 13.1402 Å; angles 90.00, 90.00, 120.00 degrees
Space group R-3 (No. 148, hexagonal axes)
Inequivalent atoms, fractional coordinates:
1 Rb 0.0372 0.2685 0.2092
2 Ca 0.0000 0.0000 0.0000
3 Ca 0.0000 0.0000 0.5000
4 F 0.0246 0.1713 0.8946
5 F 0.0267 0.1857 0.4104

Values from the calculation:
For the density of states at the Fermi level, the calculation gives 113.0 states/eV per cell. The calculation puts the formation energy without anion corrections at -2.78 eV per atom.

# AgSn2Au7

A relaxed structure of AgSn2Au7 (PBE, the Alexandria database).

Cell lengths 7.5990, 15.6407, 3.8718 Å; angles 90.00, 90.00, 90.00 degrees
Space group Cmmm (No. 65)
Inequivalent atoms, fractional coordinates:
1 Ag 0.0000 0.0000 0.0000
2 Sn 0.0000 0.3179 0.5000
3 Au 0.0000 0.1978 0.0000
4 Au 0.0000 0.5000 0.5000
5 Au 0.1899 0.0964 0.5000

Values from the calculation:
For the density of states at the Fermi level, the calculation gives 6.3 states/eV per cell. The formation energy is 0.36 kcal/mol of atoms.

# AgHgIr2

A relaxed structure of AgHgIr2 (PBE, the Alexandria database).

Cell lengths 3.3466, 3.3466, 6.0087 Å; angles 90.00, 90.00, 90.00 degrees
Space group P4/mmm (No. 123)
Inequivalent atoms, fractional coordinates:
1 Ag 0.0000 0.0000 0.0000
2 Hg 0.0000 0.0000 0.5000
3 Ir 0.5000 0.5000 0.2401

Values from the calculation:
For the density of states at the Fermi level, the calculation gives 7.3 states/eV per cell. The formation energy is 17.24 kcal/mol of atoms.

# Ni2Ir3Rh3

A relaxed structure of Ni2Ir3Rh3 (PBE, the Alexandria database).

Cell lengths 3.7926, 3.8105, 7.5839 Å; angles 90.00, 90.00, 90.00 degrees
Space group Pmmm (No. 47)
Inequivalent atoms, fractional coordinates:
1 Ni 0.0000 0.0000 0.2488
2 Ir 0.0000 0.5000 0.0000
3 Ir 0.5000 0.5000 0.2493
4 Rh 0.0000 0.5000 0.5000
5 Rh 0.5000 0.0000 0.0000
6 Rh 0.5000 0.0000 0.5000

Values from the calculation:
For the density of states at the Fermi level, the calculation gives 12.0 states/eV per cell. The formation energy is 1.41 kcal/mol of atoms. The calculation puts the energy relative to the lowest polymorph listed for this composition at 0.00 eV/f.u.